No. 1
Entry from Alexandria: crystalline BiTe at its relaxed geometry (PBE). Values from VASP.

Quantum ESPRESSO input file:
```
&SYSTEM
  ibrav = 0, nat = 2, ntyp = 2
/
ATOMIC_SPECIES
Bi 208.98 Bi.upf
Te 127.60 Te.upf
ATOMIC_POSITIONS crystal
Bi 0.500 0.500 0.500
Te 0.000 0.000 0.500
CELL_PARAMETERS angstrom
4.592 0.000 0.000
0.000 4.592 0.000
0.000 0.000 3.239
```

Computed properties:
raw formation energy = -0.085 eV per atom
space-group type = No. 123


No. 2
Entry from Alexandria: crystalline La4PRh at its relaxed geometry (PBE). Values from VASP.

Quantum ESPRESSO input file:
```
&SYSTEM
  ibrav = 0, nat = 6, ntyp = 3
/
ATOMIC_SPECIES
La 138.91 La.upf
Rh 102.91 Rh.upf
P 30.97 P.upf
ATOMIC_POSITIONS crystal
La 0.375 0.874 0.375
La 0.874 0.375 0.375
La 0.375 0.375 0.375
La 0.375 0.375 0.874
Rh 0.000 0.000 0.000
P 0.750 0.750 0.750
CELL_PARAMETERS angstrom
0.000 4.358 4.358
4.358 0.000 4.358
4.358 4.358 0.000
```

Computed properties:
calculated formation energy = 0.4004 eV/atom
space-group type = No. 216


No. 3
Entry from Alexandria: crystalline AcTbCe2Se4 at its relaxed geometry (PBE). Values from VASP.

Quantum ESPRESSO input file:
```
&SYSTEM
  ibrav = 0, nat = 8, ntyp = 4
/
ATOMIC_SPECIES
Se 78.96 Se.upf
Ac 227.00 Ac.upf
Ce 140.12 Ce.upf
Tb 158.93 Tb.upf
ATOMIC_POSITIONS crystal
Se 0.000 0.243 0.266
Se 0.500 0.748 0.264
Se 0.000 0.757 0.734
Se 0.500 0.252 0.736
Ac 0.500 0.500 0.000
Ce 0.500 0.000 0.500
Ce 0.000 0.000 0.000
Tb 0.000 0.500 0.500
CELL_PARAMETERS angstrom
4.223 0.000 0.000
0.000 7.377 -0.170
0.000 2.575 6.920
```

Computed properties:
raw formation energy = -1.796 eV per atom
space-group type = No. 10


No. 4
Entry from Alexandria: crystalline Ho3BiTe3 at its relaxed geometry (PBE). Values from VASP.

Quantum ESPRESSO input file:
```
&SYSTEM
  ibrav = 0, nat = 14, ntyp = 3
/
ATOMIC_SPECIES
Bi 208.98 Bi.upf
Te 127.60 Te.upf
Ho 164.93 Ho.upf
ATOMIC_POSITIONS crystal
Bi 0.333 0.333 0.000
Bi 0.667 0.667 0.000
Te 0.893 0.591 0.320
Te 0.804 0.107 0.680
Te 0.409 0.804 0.680
Te 0.591 0.196 0.320
Te 0.196 0.893 0.320
Te 0.107 0.409 0.680
Ho 0.937 0.310 0.188
Ho 0.310 0.564 0.188
Ho 0.564 0.937 0.188
Ho 0.436 0.063 0.812
Ho 0.063 0.690 0.812
Ho 0.690 0.436 0.812
CELL_PARAMETERS angstrom
-1.961 6.913 2.891
-5.048 4.491 -3.787
-10.604 -0.847 5.209
```

Computed properties:
raw formation energy = -1.011 eV per atom
space-group type = No. 148


No. 5
Entry from Alexandria: crystalline Li3Tm2GaCu12 at its relaxed geometry (PBE). Values from VASP.

Quantum ESPRESSO input file:
```
&SYSTEM
  ibrav = 0, nat = 18, ntyp = 4
/
ATOMIC_SPECIES
Cu 63.55 Cu.upf
Li 6.94 Li.upf
Tm 168.93 Tm.upf
Ga 69.72 Ga.upf
ATOMIC_POSITIONS crystal
Cu 0.854 0.424 0.424
Cu 0.799 0.799 0.273
Cu 0.273 0.799 0.799
Cu 0.201 0.201 0.727
Cu 0.727 0.201 0.201
Cu 0.799 0.273 0.799
Cu 0.201 0.727 0.201
Cu 0.576 0.146 0.576
Cu 0.424 0.424 0.854
Cu 0.424 0.854 0.424
Cu 0.146 0.576 0.576
Cu 0.576 0.576 0.146
Li 0.000 0.500 0.000
Li 0.000 0.000 0.500
Li 0.500 0.000 0.000
Tm 0.712 0.712 0.712
Tm 0.288 0.288 0.288
Ga 0.000 0.000 0.000
CELL_PARAMETERS angstrom
6.267 -1.346 -0.955
1.925 6.114 -0.955
1.925 1.120 6.086
```

Computed properties:
calculated formation energy = -0.0157 eV/atom
space-group type = No. 166


Number 1: total magnetization 0.0 μB/f.u., E -3.5958 eV/atom. Number 2: total magnetization 0.0 μB/f.u., E -5.0115 eV/atom. Number 3: total magnetization 2.1 μB/f.u., E -6.1143 eV/atom. Number 4: total magnetization 0.0 μB/f.u., E -4.8738 eV/atom. Number 5: total magnetization 0.0 μB/f.u., E -3.7304 eV/atom.